No. 1
Computed, not measured: crystalline NaAgCl3 at its relaxed geometry at the PBE level of DFT.

Structure (POSCAR):
```
NaAgCl3
1.0
5.159 0.000 0.000
0.000 5.159 0.000
0.000 0.000 5.159
Na Ag Cl
1 1 3
direct
0.000 0.000 0.000 Na
0.500 0.500 0.500 Ag
0.000 0.000 0.500 Cl
0.000 0.500 0.000 Cl
0.500 0.000 0.000 Cl
```

SG: No. 221
DOS at the Fermi energy: 7.40 states/eV/cell
Crystal system: cubic
Raw formation energy: -1.9 eV/f.u.



No. 2
Computed, not measured: crystalline Pm5Ga2 at its relaxed geometry at the PBE level of DFT.

Structure (POSCAR):
```
Pm5Ga2
1.0
-4.025 7.430 3.315
4.025 -7.430 3.315
4.025 7.430 -3.315
Pm Ga
10 4
direct
0.013 0.250 0.763 Pm
0.078 0.658 0.736 Pm
0.250 0.250 0.000 Pm
0.422 0.158 0.579 Pm
0.487 0.250 0.237 Pm
0.513 0.750 0.763 Pm
0.578 0.842 0.421 Pm
0.750 0.750 0.000 Pm
0.922 0.342 0.264 Pm
0.987 0.750 0.237 Pm
0.126 0.270 0.396 Ga
0.374 0.770 0.143 Ga
0.626 0.230 0.857 Ga
0.874 0.730 0.604 Ga
```

SG: No. 72
DOS at the Fermi energy: 14.63 states/eV/cell
Crystal system: orthorhombic
Formation energy from the elements: -2.08 eV/f.u.



No. 3
Computed, not measured: crystalline Dy4BSe3 at its relaxed geometry at the PBE level of DFT.

Structure (POSCAR):
```
Dy4BSe3
1.0
4.074 -5.697 0.000
4.074 5.697 0.000
0.000 0.000 3.975
Dy B Se
4 1 3
direct
0.219 0.219 0.500 Dy
0.229 0.771 0.000 Dy
0.771 0.229 0.000 Dy
0.781 0.781 0.500 Dy
0.000 0.000 0.000 B
0.000 0.500 0.500 Se
0.500 0.000 0.500 Se
0.500 0.500 0.000 Se
```

SG: No. 65
DOS at the Fermi energy: 1.83 states/eV/cell
Crystal system: orthorhombic
Raw formation energy: -11.7 eV/f.u.



No. 4
Computed, not measured: crystalline NdMgGe2Pd2 at its relaxed geometry at the PBE level of DFT.

Structure (POSCAR):
```
NdMgGe2Pd2
1.0
4.360 0.000 0.000
-2.180 3.776 0.000
0.000 0.000 7.000
Nd Mg Ge Pd
1 1 2 2
direct
0.000 0.000 0.000 Nd
0.000 0.000 0.500 Mg
0.333 0.667 0.270 Ge
0.667 0.333 0.730 Ge
0.333 0.667 0.668 Pd
0.667 0.333 0.332 Pd
```

SG: No. 164
DOS at the Fermi energy: 3.31 states/eV/cell
Crystal system: trigonal
Formation energy from the elements: -4.62 eV/f.u.



No. 5
Computed, not measured: crystalline Zr2H3 at its relaxed geometry at the PBE level of DFT.

Structure (POSCAR):
```
Zr2H3
1.0
-2.655 4.068 2.379
2.655 -4.068 2.379
2.655 4.068 -2.379
Zr H
4 6
direct
0.126 0.243 0.369 Zr
0.374 0.743 0.117 Zr
0.626 0.257 0.883 Zr
0.874 0.757 0.631 Zr
0.127 0.848 0.975 H
0.250 0.750 0.500 H
0.373 0.348 0.721 H
0.627 0.652 0.279 H
0.750 0.250 0.500 H
0.873 0.152 0.025 H
```

SG: No. 72
DOS at the Fermi energy: 4.31 states/eV/cell
Crystal system: orthorhombic



No. 6
Computed, not measured: crystalline Sr3LiSm3S8 at its relaxed geometry at the PBE level of DFT.

Structure (POSCAR):
```
Sr3LiSm3S8
1.0
4.075 2.353 6.840
-4.075 2.353 6.840
0.000 -4.706 6.840
Sr Li Sm S
3 1 3 8
direct
0.000 0.500 0.500 Sr
0.500 0.000 0.500 Sr
0.500 0.500 0.000 Sr
0.500 0.500 0.500 Li
0.000 0.000 0.500 Sm
0.000 0.500 0.000 Sm
0.500 0.000 0.000 Sm
0.243 0.741 0.741 S
0.245 0.245 0.245 S
0.259 0.259 0.757 S
0.259 0.757 0.259 S
0.741 0.243 0.741 S
0.741 0.741 0.243 S
0.755 0.755 0.755 S
0.757 0.259 0.259 S
```

SG: No. 166
Crystal system: trigonal
Raw formation energy: -29.2 eV/f.u.



No. 7
Computed, not measured: crystalline SiIrRh2 at its relaxed geometry at the PBE level of DFT.

Structure (POSCAR):
```
SiIrRh2
1.0
3.844 0.000 0.000
0.000 1.407 5.174
0.000 -1.407 5.174
Si Ir Rh
1 1 2
direct
0.000 0.000 0.000 Si
0.500 0.145 0.145 Ir
0.000 0.766 0.766 Rh
0.500 0.414 0.414 Rh
```

SG: No. 38
DOS at the Fermi energy: 4.63 states/eV/cell
Crystal system: orthorhombic
Raw formation energy: -1.4 eV/f.u.



No. 8
Computed, not measured: crystalline CaPbW2 at its relaxed geometry at the PBE level of DFT.

Structure (POSCAR):
```
CaPbW2
1.0
1.728 -2.559 0.000
1.728 2.559 0.000
0.000 0.000 9.785
Ca Pb W
1 1 2
direct
0.000 0.000 0.000 Ca
0.500 0.500 0.294 Pb
0.000 0.000 0.548 W
0.500 0.500 0.740 W
```

SG: No. 35
DOS at the Fermi energy: 2.63 states/eV/cell
Crystal system: orthorhombic
Formation energy from the elements: 2.42 eV/f.u.



no.,energy (eV per atom)
1,-2.32
2,-4.56
3,-5.90
4,-5.10
5,-5.86
6,-5.56
7,-7.60
8,-7.30